# BaCoAsO

Crystalline BaCoAsO at its relaxed geometry (GGA+U, OQMD).

## Properties
As for the space group: P4/nmm, No. 129. As for the total energy: -16.2 eV/f.u.

Lattice parameters (Å, degrees): 4.425 4.425 9.859 90.00 90.00 90.00
Fractional positions:
Ba: 0.250 0.750 0.000
Ba: 0.750 0.250 0.000
Co: 0.250 0.250 0.481
Co: 0.750 0.750 0.519
As: 0.250 0.250 0.225
As: 0.750 0.750 0.775
O: 0.250 0.750 0.500
O: 0.750 0.250 0.500